No. 1
CdIn4BiS8: optimized geometry, PBE.

Summary:
final energy = -3.979 eV/atom

a b c (Å): 7.900 7.900 7.987
angles (deg): 60.36 60.36 60.00
Element x y z (fractional)
S  0.762  0.762  0.715
S  0.249  0.774  0.728
S  0.249  0.249  0.728
S  0.748  0.748  0.275
S  0.748  0.228  0.275
S  0.240  0.240  0.280
S  0.228  0.748  0.275
S  0.774  0.249  0.728
In  0.001  0.498  0.500
In  0.498  0.001  0.500
In  0.627  0.627  0.118
In  0.001  0.001  0.500
Bi  0.001  0.001  0.997
Cd  0.373  0.373  0.880

=====

No. 2
CdInSn2Bi: optimized geometry, PBE.

Summary:
ΔE_f = 68 kJ/mol of formula units

a b c (Å): 6.312 6.732 7.917
angles (deg): 115.16 90.00 90.00
Element x y z (fractional)
Sn  0.500  0.765  0.000
Sn  0.500  0.235  0.000
Sn  0.000  0.765  0.000
Sn  0.000  0.235  0.000
In  0.250  0.837  0.674
In  0.750  0.163  0.326
Bi  0.250  0.314  0.627
Bi  0.750  0.686  0.373
Cd  0.750  0.360  0.720
Cd  0.250  0.640  0.280

=====

No. 3
SrCdIn2Bi2: optimized geometry, PBE.

Summary:
ΔE_f = -148 kJ/mol of formula units

a b c (Å): 4.953 7.925 10.061
angles (deg): 90.00 90.00 90.00
Element x y z (fractional)
Bi  0.500  0.771  0.630
Bi  0.000  0.744  0.164
Bi  0.500  0.271  0.370
Bi  0.000  0.244  0.836
Cd  0.500  0.168  0.670
Cd  0.500  0.668  0.330
In  0.000  0.843  0.845
In  0.500  0.030  0.085
In  0.000  0.343  0.155
In  0.500  0.530  0.915
Sr  0.000  0.990  0.448
Sr  0.000  0.490  0.552